The following is a GGA-PBE calculation of a relaxed V2B crystal, from Alexandria.

```
V2B
1.0
2.988 0.000 0.000
0.000 3.802 0.000
0.000 -1.901 5.624
V B
4 2
Cartesian
1.494 0.000 0.000 V
0.000 1.901 0.000 V
1.494 0.000 3.553 V
1.494 1.901 2.071 V
0.000 1.901 3.954 B
0.000 0.000 1.670 B
```

ΔE_f ... -0.197 eV per atom
Symmetry ... No. 65
Magnetic moment ... 0.000 μB/f.u.